Below is crystalline EuHoGaSn at its relaxed geometry, with properties calculated at the PBE level.

Output
Uncorrected energy, eV per cell: -24.0
Magnetization, μB per atom: 1.770
Fermi-level density of states, states/eV per atom: 0.500

a b c (Å): 5.299 5.299 5.299
angles (deg): 60.00 60.00 60.00
Last column: magnetic moment on the atom in μB.
Element x y z (fractional)
Eu1 0.250 0.250 0.250  6.79
Ho1 0.750 0.750 0.750  0.07
Ga1 0.500 0.500 0.500  0.00
Sn1 0.000 0.000 0.000  -0.02



Below is crystalline AcGdHoHg at its relaxed geometry, with properties calculated at the PBE level.

Output
Uncorrected energy, eV per cell: -22.9
Magnetization, μB per atom: 2.090
Fermi-level density of states, states/eV per atom: 1.554

a b c (Å): 5.587 5.587 5.587
angles (deg): 60.00 60.00 60.00
Last column: magnetic moment on the atom in μB.
Element x y z (fractional)
Ac1 0.750 0.750 0.750  -0.19
Gd1 0.500 0.500 0.500  -7.30
Hg1 0.250 0.250 0.250  0.00
Ho1 0.000 0.000 0.000  -0.25



Below is crystalline Ga2SnHg2 at its relaxed geometry, with properties calculated at the PBE level.

Output
Energy above the most stable polymorph in this dataset, eV per atom: 0.000
Magnetization, μB per atom: 0.000
Fermi-level density of states, states/eV per atom: 0.254

a b c (Å): 3.967 4.468 16.256
angles (deg): 61.08 105.56 89.81
Element x y z (fractional)
Ga1 0.249 0.749 0.498
Ga2 0.751 0.251 0.502
Ga3 0.913 0.501 0.646
Ga4 0.087 0.499 0.354
Sn1 0.460 0.914 0.692
Sn2 0.540 0.086 0.308
Hg1 0.890 0.925 0.147
Hg2 0.685 0.434 0.925
Hg3 0.110 0.075 0.853
Hg4 0.315 0.566 0.075



Below is crystalline ScTi2S4 at its relaxed geometry, with properties calculated at the PBE level.

Output
Energy above the most stable polymorph in this dataset, eV per atom: 0.000
Magnetization, μB per atom: 0.000
Fermi-level density of states, states/eV per atom: 0.477
Formation energy (no corrections), meV per atom: -1576

a b c (Å): 3.469 6.994 6.040
angles (deg): 65.44 89.98 75.64
Element x y z (fractional)
Sc1 0.000 0.000 0.000
Ti1 0.746 0.508 0.717
Ti2 0.254 0.492 0.283
S1 0.876 0.248 0.538
S2 0.124 0.752 0.462
S3 0.637 0.726 0.976
S4 0.363 0.274 0.024



Below is crystalline Ag2IrW2 at its relaxed geometry, with properties calculated at the PBE level.

Output
Energy above the most stable polymorph in this dataset, eV per atom: 0.227
Magnetization, μB per atom: 0.000
Fermi-level density of states, states/eV per atom: 1.220

a b c (Å): 7.575 7.575 3.012
angles (deg): 90.00 90.00 90.00
Element x y z (fractional)
Ir1 0.000 0.000 0.000
Ir2 0.500 0.500 0.000
Ag1 0.180 0.680 0.500
Ag2 0.680 0.820 0.500
Ag3 0.820 0.320 0.500
Ag4 0.320 0.180 0.500
W1 0.385 0.885 0.000
W2 0.885 0.615 0.000
W3 0.615 0.115 0.000
W4 0.115 0.385 0.000



Below is crystalline V3PtRh2 at its relaxed geometry, with properties calculated at the PBE level.

Output
Energy above the most stable polymorph in this dataset, eV per atom: 0.000
Magnetization, μB per atom: 0.000
Fermi-level density of states, states/eV per atom: 1.044

a b c (Å): 3.846 7.169 7.169
angles (deg): 108.14 105.56 105.56
Element x y z (fractional)
V1 0.993 0.159 0.327
V2 0.493 0.327 0.159
V3 0.000 0.500 0.000
V4 0.007 0.841 0.673
V5 0.500 0.000 0.500
V6 0.507 0.673 0.841
Pt1 0.250 0.583 0.417
Pt2 0.750 0.417 0.583
Rh1 0.250 0.916 0.084
Rh2 0.250 0.251 0.749
Rh3 0.750 0.084 0.916
Rh4 0.750 0.749 0.251



Below is crystalline Nd2ThSe6 at its relaxed geometry, with properties calculated at the PBE level.

Output
Magnetization, μB per atom: 0.000
Formation energy (no corrections), meV per atom: -1546

a b c (Å): 5.776 7.584 7.838
angles (deg): 75.44 68.38 67.62
Element x y z (fractional)
Nd1 0.180 0.733 0.907
Nd2 0.820 0.267 0.093
Th1 0.000 0.500 0.500
Se1 0.745 0.651 0.858
Se2 0.255 0.349 0.142
Se3 0.933 0.874 0.260
Se4 0.419 0.673 0.489
Se5 0.067 0.126 0.740
Se6 0.581 0.327 0.511



Below is crystalline PrLuAlHg at its relaxed geometry, with properties calculated at the PBE level.

Output
Uncorrected energy, eV per cell: -14.8
Magnetization, μB per atom: 0.002
Fermi-level density of states, states/eV per atom: 0.980

a b c (Å): 5.268 5.268 5.268
angles (deg): 60.00 60.00 60.00
Element x y z (fractional)
Pr1 0.500 0.500 0.500
Lu1 0.000 0.000 0.000
Hg1 0.750 0.750 0.750
Al1 0.250 0.250 0.250



- The highest magnetization belongs to which entry?
  AcGdHoHg